Computed, not measured: a relaxed structure of Tc3Ru at the PBE level of DFT.

Structure (POSCAR):
```
Tc3Ru
1.0
4.356 0.000 0.000
0.000 5.515 0.000
0.000 0.000 4.781
Tc Ru
6 2
direct
0.250 0.002 0.166 Tc
0.250 0.498 0.166 Tc
0.250 0.750 0.669 Tc
0.750 0.250 0.331 Tc
0.750 0.502 0.834 Tc
0.750 0.998 0.834 Tc
0.250 0.250 0.669 Ru
0.750 0.750 0.331 Ru
```

Properties
- space group = Pmmn
- excess energy over the best structure of this formula in the dataset (meV per atom) = 0

Computed, not measured: a relaxed structure of HgC2 at the PBE level of DFT.

Structure (POSCAR):
```
HgC2
1.0
4.948 0.000 0.000
0.000 4.948 0.000
0.000 0.000 3.703
Hg C
2 4
direct
0.000 0.000 0.000 Hg
0.500 0.500 0.500 Hg
0.185 0.185 0.500 C
0.315 0.685 0.000 C
0.685 0.315 0.000 C
0.815 0.815 0.500 C
```

Properties
- space group = P4_2/mnm
- excess energy over the best structure of this formula in the dataset (meV per atom) = 2843

Computed, not measured: a relaxed structure of Li5Ac3S12 at the PBE level of DFT.

Structure (POSCAR):
```
Li5Ac3S12
1.0
-7.927 7.927 7.927
7.927 -7.927 7.927
7.927 7.927 -7.927
Li Ac S
20 12 48
direct
0.000 0.000 0.000 Li
0.000 0.000 0.500 Li
0.000 0.500 0.000 Li
0.000 0.500 0.500 Li
0.125 0.750 0.875 Li
0.125 0.875 0.250 Li
0.250 0.125 0.875 Li
0.250 0.625 0.375 Li
0.375 0.250 0.625 Li
0.375 0.625 0.750 Li
0.500 0.000 0.000 Li
0.500 0.000 0.500 Li
0.500 0.500 0.000 Li
0.500 0.500 0.500 Li
0.625 0.375 0.250 Li
0.625 0.750 0.375 Li
0.750 0.375 0.625 Li
0.750 0.875 0.125 Li
0.875 0.125 0.750 Li
0.875 0.250 0.125 Li
0.125 0.250 0.375 Ac
0.125 0.375 0.750 Ac
0.250 0.375 0.125 Ac
0.250 0.875 0.625 Ac
0.375 0.125 0.250 Ac
0.375 0.750 0.125 Ac
0.625 0.250 0.875 Ac
0.625 0.875 0.750 Ac
0.750 0.125 0.375 Ac
0.750 0.625 0.875 Ac
0.875 0.625 0.250 Ac
0.875 0.750 0.625 Ac
0.038 0.211 0.124 S
0.038 0.327 0.914 S
0.086 0.624 0.413 S
0.086 0.962 0.673 S
0.087 0.711 0.673 S
0.087 0.876 0.414 S
0.124 0.038 0.211 S
0.124 0.586 0.913 S
0.173 0.211 0.587 S
0.173 0.462 0.586 S
0.211 0.124 0.038 S
0.211 0.587 0.173 S
0.289 0.327 0.913 S
0.289 0.462 0.376 S
0.327 0.913 0.289 S
0.327 0.914 0.038 S
0.376 0.289 0.462 S
0.376 0.587 0.914 S
0.413 0.086 0.624 S
0.413 0.827 0.789 S
0.414 0.087 0.876 S
0.414 0.827 0.538 S
0.462 0.376 0.289 S
0.462 0.586 0.173 S
0.538 0.414 0.827 S
0.538 0.624 0.711 S
0.586 0.173 0.462 S
0.586 0.913 0.124 S
0.587 0.173 0.211 S
0.587 0.914 0.376 S
0.624 0.413 0.086 S
0.624 0.711 0.538 S
0.673 0.086 0.962 S
0.673 0.087 0.711 S
0.711 0.538 0.624 S
0.711 0.673 0.087 S
0.789 0.413 0.827 S
0.789 0.876 0.962 S
0.827 0.538 0.414 S
0.827 0.789 0.413 S
0.876 0.414 0.087 S
0.876 0.962 0.789 S
0.913 0.124 0.586 S
0.913 0.289 0.327 S
0.914 0.038 0.327 S
0.914 0.376 0.587 S
0.962 0.673 0.086 S
0.962 0.789 0.876 S
```

Properties
- space group = Ia-3d
- raw formation energy (eV per formula unit) = -15.290

Computed, not measured: a relaxed structure of Ca2LaSe at the PBE level of DFT.

Structure (POSCAR):
```
Ca2LaSe
1.0
2.609 -2.625 0.000
2.609 2.625 0.000
0.000 0.000 9.800
Ca La Se
2 1 1
direct
0.000 0.000 0.000 Ca
0.500 0.500 0.313 Ca
0.500 0.500 0.679 La
0.000 0.000 0.492 Se
```

Properties
- space group = Cmm2
- raw formation energy (eV per formula unit) = -3.076

Computed, not measured: a relaxed structure of Tb3Pm3Sm8 at the PBE level of DFT.

Structure (POSCAR):
```
Tb3Pm3Sm8
1.0
-2.847 5.449 7.638
2.847 -5.449 7.638
2.847 5.449 -7.638
Tb Pm Sm
3 3 8
direct
0.000 0.000 0.000 Tb
0.183 0.683 0.500 Tb
0.817 0.317 0.500 Tb
0.196 0.500 0.696 Pm
0.500 0.500 0.000 Pm
0.804 0.500 0.304 Pm
0.118 0.277 0.841 Sm
0.235 0.896 0.338 Sm
0.435 0.277 0.159 Sm
0.442 0.104 0.338 Sm
0.558 0.896 0.662 Sm
0.565 0.723 0.841 Sm
0.765 0.104 0.662 Sm
0.882 0.723 0.159 Sm
```

Properties
- space group = Immm
- uncorrected energy (eV/cell) = -64.33

Computed, not measured: a relaxed structure of BeReOs2 at the PBE level of DFT.

Structure (POSCAR):
```
BeReOs2
1.0
4.289 0.000 0.000
0.000 4.289 0.000
0.000 0.000 2.950
Be Re Os
1 1 2
direct
0.000 0.000 0.000 Be
0.500 0.500 0.000 Re
0.000 0.500 0.500 Os
0.500 0.000 0.500 Os
```

Properties
- space group = P4/mmm
- uncorrected energy (eV/cell) = -37.65

Computed, not measured: a relaxed structure of Tl2HRh at the PBE level of DFT.

Structure (POSCAR):
```
Tl2HRh
1.0
-3.282 3.282 3.361
3.282 -3.282 3.361
3.282 3.282 -3.361
Tl H Rh
4 2 2
direct
0.067 0.625 0.942 Tl
0.375 0.317 0.442 Tl
0.683 0.125 0.058 Tl
0.875 0.933 0.558 Tl
0.000 0.000 0.000 H
0.750 0.250 0.500 H
0.250 0.750 0.500 Rh
0.500 0.500 0.000 Rh
```

Properties
- space group = I-42d
- uncorrected energy (eV/cell) = -27.50

Computed, not measured: a relaxed structure of TbSmCdPb at the PBE level of DFT.

Structure (POSCAR):
```
TbSmCdPb
1.0
0.000 3.816 3.816
3.816 0.000 3.816
3.816 3.816 0.000
Tb Sm Cd Pb
1 1 1 1
direct
0.000 0.000 0.000 Tb
0.500 0.500 0.500 Sm
0.750 0.750 0.750 Cd
0.250 0.250 0.250 Pb
```

Properties
- space group = F-43m
- uncorrected energy (eV/cell) = -15.60

Computed, not measured: a relaxed structure of TbPm6Ho3 at the PBE level of DFT.

Structure (POSCAR):
```
TbPm6Ho3
1.0
5.494 -9.630 0.000
5.494 9.630 0.000
0.000 0.000 6.317
Tb Pm Ho
2 12 6
direct
0.197 0.803 0.500 Tb
0.803 0.197 0.000 Tb
0.038 0.962 0.727 Pm
0.056 0.476 0.252 Pm
0.279 0.721 0.969 Pm
0.290 0.374 0.070 Pm
0.374 0.290 0.570 Pm
0.476 0.056 0.752 Pm
0.524 0.944 0.252 Pm
0.626 0.710 0.070 Pm
0.710 0.626 0.570 Pm
0.721 0.279 0.469 Pm
0.944 0.524 0.752 Pm
0.962 0.038 0.227 Pm
0.056 0.284 0.652 Ho
0.284 0.056 0.152 Ho
0.385 0.615 0.536 Ho
0.615 0.385 0.036 Ho
0.716 0.944 0.652 Ho
0.944 0.716 0.152 Ho
```

Properties
- space group = Cmc2_1
- excess energy over the best structure of this formula in the dataset (meV per atom) = 18

Computed, not measured: a relaxed structure of Sc2Zn2GaNi5 at the PBE level of DFT.

Structure (POSCAR):
```
Sc2Zn2GaNi5
1.0
8.960 0.000 0.000
0.000 8.960 0.000
0.000 0.000 3.503
Sc Zn Ga Ni
4 4 2 10
direct
0.175 0.325 0.000 Sc
0.325 0.825 0.000 Sc
0.675 0.175 0.000 Sc
0.825 0.675 0.000 Sc
0.123 0.623 0.000 Zn
0.377 0.123 0.000 Zn
0.623 0.877 0.000 Zn
0.877 0.377 0.000 Zn
0.000 0.000 0.000 Ga
0.500 0.500 0.000 Ga
0.000 0.500 0.500 Ni
0.062 0.800 0.500 Ni
0.200 0.062 0.500 Ni
0.300 0.562 0.500 Ni
0.438 0.300 0.500 Ni
0.500 0.000 0.500 Ni
0.562 0.700 0.500 Ni
0.700 0.438 0.500 Ni
0.800 0.938 0.500 Ni
0.938 0.200 0.500 Ni
```

Properties
- space group = P4/mbm
- uncorrected energy (eV/cell) = -100.90

Computed, not measured: a relaxed structure of Ba2Mg12Al3Ag at the PBE level of DFT.

Structure (POSCAR):
```
Ba2Mg12Al3Ag
1.0
3.661 2.113 10.849
-3.661 2.113 10.849
0.000 -4.227 10.849
Ba Mg Al Ag
2 12 3 1
direct
0.147 0.147 0.147 Ba
0.853 0.853 0.853 Ba
0.088 0.088 0.685 Mg
0.088 0.685 0.088 Mg
0.144 0.576 0.576 Mg
0.315 0.912 0.912 Mg
0.424 0.424 0.856 Mg
0.424 0.856 0.424 Mg
0.576 0.144 0.576 Mg
0.576 0.576 0.144 Mg
0.685 0.088 0.088 Mg
0.856 0.424 0.424 Mg
0.912 0.315 0.912 Mg
0.912 0.912 0.315 Mg
0.000 0.500 0.500 Al
0.500 0.000 0.500 Al
0.500 0.500 0.000 Al
0.500 0.500 0.500 Ag
```

Properties
- space group = R-3m
- uncorrected energy (eV/cell) = -34.49

Computed, not measured: a relaxed structure of Na3PrNd2S6 at the PBE level of DFT.

Structure (POSCAR):
```
Na3PrNd2S6
1.0
3.590 -6.216 0.000
3.590 6.216 0.000
-2.393 0.000 6.694
Na Pr Nd S
3 1 2 6
direct
0.000 0.000 0.000 Na
0.333 0.667 0.000 Na
0.667 0.333 0.000 Na
0.500 0.500 0.500 Pr
0.167 0.833 0.500 Nd
0.833 0.167 0.500 Nd
0.087 0.422 0.266 S
0.243 0.243 0.734 S
0.422 0.087 0.266 S
0.578 0.913 0.734 S
0.757 0.757 0.266 S
0.913 0.578 0.734 S
```

Properties
- space group = C2/m
- raw formation energy (eV per formula unit) = -21.476

Computed, not measured: a relaxed structure of Dy12Hg5Ir2 at the PBE level of DFT.

Structure (POSCAR):
```
Dy12Hg5Ir2
1.0
8.210 -3.897 0.000
8.210 3.897 0.000
-2.309 0.000 8.997
Dy Hg Ir
12 5 2
direct
0.002 0.002 0.239 Dy
0.068 0.593 0.893 Dy
0.104 0.613 0.437 Dy
0.387 0.896 0.563 Dy
0.407 0.932 0.107 Dy
0.471 0.471 0.169 Dy
0.529 0.529 0.831 Dy
0.593 0.068 0.893 Dy
0.613 0.104 0.437 Dy
0.896 0.387 0.563 Dy
0.932 0.407 0.107 Dy
0.998 0.998 0.761 Dy
0.190 0.190 0.840 Hg
0.212 0.212 0.373 Hg
0.500 0.500 0.500 Hg
0.788 0.788 0.627 Hg
0.810 0.810 0.160 Hg
0.221 0.779 0.000 Ir
0.779 0.221 0.000 Ir
```

Properties
- space group = C2/m
- uncorrected energy (eV/cell) = -80.31

Computed, not measured: a relaxed structure of DyZnCd at the PBE level of DFT.

Structure (POSCAR):
```
DyZnCd
1.0
4.732 0.000 0.000
-2.366 4.098 0.000
0.000 0.000 3.472
Dy Zn Cd
1 1 1
direct
0.000 0.000 0.000 Dy
0.667 0.333 0.500 Zn
0.333 0.667 0.500 Cd
```

Properties
- space group = P-6m2
- uncorrected energy (eV/cell) = -7.74

| no. | magnetization (μB per atom) |
| --- | --- |
| 1 | 0.0000 |
| 2 | 0.0000 |
| 3 | 0.4982 |
| 4 | 0.0009 |
| 5 | 0.0000 |
| 6 | 0.0000 |
| 7 | 0.0000 |
| 8 | 0.0000 |
| 9 | 0.0000 |
| 10 | 0.0000 |
| 11 | 0.0000 |
| 12 | 0.0000 |
| 13 | 0.0000 |
| 14 | 0.0000 |